Record 1
A geometry-optimized KCd3InAg structure. Source: Alexandria, functional GGA-PBE.

abc: 7.815 7.815 7.086
angles: 90.00 90.00 128.62
Atoms (fractional coordinates):
K 0.213 0.787 0.750
K 0.787 0.213 0.250
Cd 0.213 0.213 0.000
Cd 0.213 0.213 0.500
Cd 0.359 0.641 0.250
Cd 0.641 0.359 0.750
Cd 0.787 0.787 0.000
Cd 0.787 0.787 0.500
In 0.146 0.854 0.250
In 0.854 0.146 0.750
Ag 0.434 0.566 0.750
Ag 0.566 0.434 0.250

- space-group type = No. 63
- ΔE_f (meV/atom) = 15

---

Record 2
A geometry-optimized CsCeIBr2 structure. Source: Alexandria, functional GGA-PBE.

abc: 8.660 8.660 8.660
angles: 123.38 123.38 84.23
Atoms (fractional coordinates):
Cs 0.250 0.750 0.500
Cs 0.750 0.250 0.500
Ce 0.000 0.000 0.000
Ce 0.500 0.500 0.000
I 0.250 0.250 0.000
I 0.750 0.750 0.000
Br 0.184 0.684 0.868
Br 0.316 0.184 0.500
Br 0.684 0.816 0.500
Br 0.816 0.316 0.132

- formation energy from raw total energies (meV per atom) = -1506
- space-group type = No. 140

---

Record 3
A geometry-optimized NaSmBi2 structure. Source: Alexandria, functional GGA-PBE.

abc: 4.558 4.560 11.746
angles: 90.00 90.00 90.00
Atoms (fractional coordinates):
Na 0.250 0.250 0.000
Na 0.750 0.750 0.000
Sm 0.250 0.750 0.284
Sm 0.750 0.250 0.716
Bi 0.250 0.250 0.500
Bi 0.250 0.750 0.799
Bi 0.750 0.250 0.201
Bi 0.750 0.750 0.500

- space-group type = No. 59
- ΔE_f (meV/atom) = -547
- energy relative to the lowest polymorph listed for this composition (eV/atom) = 0.000

---

Record 4
A geometry-optimized La4Tb5Y4 structure. Source: Alexandria, functional GGA-PBE.

abc: 9.584 9.584 9.584
angles: 94.11 94.11 148.93
Atoms (fractional coordinates):
La 0.077 0.617 0.694
La 0.383 0.077 0.461
La 0.617 0.923 0.539
La 0.923 0.383 0.306
Tb 0.000 0.000 0.000
Tb 0.312 0.461 0.773
Tb 0.461 0.688 0.148
Tb 0.539 0.312 0.852
Tb 0.688 0.539 0.227
Y 0.153 0.229 0.381
Y 0.229 0.847 0.076
Y 0.771 0.153 0.924
Y 0.847 0.771 0.619

- space-group type = No. 87
- ΔE_f (meV/atom) = 26

---

no.,DOS at the Fermi energy (states/eV per atom),energy (eV per cell),M_tot (Bohr magnetons per cell)
1,0.40,-18.68,0.00
2,1.96,-38.43,4.02
3,0.45,-31.98,0.00
4,1.58,-68.39,0.00